Record 1
A geometry-optimized Tl2NiHSe2 structure, computed with PBE.

The density of states at the Fermi level is 19.6 states/eV/cell. As for the calculated density: 8.135 g cm⁻³. The calculation puts the final energy at -82.4 eV per cell.

The space group is Ibam (No. 72) and the conventional cell measures 5.799, 16.940 and 5.206 Å, with angles of 90.00, 90.00 and 90.00 degrees. The asymmetric unit holds Tl at (0.220, 0.171, 0.000), Ni at (0.000, 0.000, 0.250), H at (0.000, 0.500, 0.250) and Se at (0.220, 0.429, 0.000).

=====

Record 2
A geometry-optimized Al2Sb2Au structure, computed with PBE.

The density of states at the Fermi level is 6.0 states/eV/cell. Its distance to the lowest polymorph of the same formula is 109 meV/atom. As for the calculated density: 6.981 g cm⁻³. As for the formation energy from raw total energies: 0.19 eV/atom.

The space group is P4/mbm (No. 127) and the conventional cell measures 7.757, 7.757 and 3.910 Å, with angles of 90.00, 90.00 and 90.00 degrees. The asymmetric unit holds Al at (0.125, 0.375, 0.000), Sb at (0.181, 0.681, 0.500) and Au at (0.000, 0.000, 0.500).

=====

Record 3
A geometry-optimized SiTcAg2 structure, computed with PBE.

The density of states at the Fermi level is 4.8 states/eV/cell. As for the calculated density: 8.800 g cm⁻³. As for the formation energy from raw total energies: 0.27 eV/atom.

The space group is Cm (No. 8) and the conventional cell measures 9.099, 2.889 and 5.188 Å, with angles of 90.00, 108.97 and 90.00 degrees. The asymmetric unit holds Si at (0.000, 0.000, 0.000), Tc at (0.230, 0.500, 0.080), Ag at (0.009, 0.500, 0.431) and Ag at (0.278, 0.000, 0.633).